This record from the Alexandria database describes an optimized crystal structure of PmZn8Au2. The functional is PBE.

- Symmetry: P4/mmm (123)
- VASP energy: -1.87 eV/atom
- Formation energy: 8 kJ per mole of atoms

Cell lengths 5.2238, 5.2238, 8.9593 Å; angles 90.00, 90.00, 90.00 degrees
Fractional coordinates of all 11 atoms:
Zn: 0.7524 0.2476 0.2240
Zn: 0.2476 0.2476 0.2240
Zn: 0.2476 0.7524 0.7760
Zn: 0.2476 0.7524 0.2240
Zn: 0.7524 0.7524 0.2240
Zn: 0.7524 0.7524 0.7760
Zn: 0.2476 0.2476 0.7760
Zn: 0.7524 0.2476 0.7760
Pm: 0.5000 0.5000 0.5000
Au: 0.5000 0.0000 0.0000
Au: 0.0000 0.5000 0.0000


This record from the Alexandria database describes an optimized crystal structure of Ac3Sm2N4. The functional is PBE.

- Symmetry: C2/m (12)
- VASP energy: -7.21 eV/atom
- Formation energy from raw total energies: -105.2 kJ per mole of atoms

Cell lengths 3.7422, 3.7422, 15.9475 Å; angles 90.04, 89.96, 120.00 degrees
Fractional coordinates of all 9 atoms:
Ac: 0.6659 0.3341 0.3756
Ac: 0.0000 0.0000 0.0000
Ac: 0.3341 0.6659 0.6244
Sm: 0.6671 0.3329 0.8120
Sm: 0.3329 0.6671 0.1880
N: 0.0006 0.9994 0.7081
N: 0.9994 0.0006 0.2919
N: 0.3336 0.6664 0.8912
N: 0.6664 0.3336 0.1088


This record from the Alexandria database describes an optimized crystal structure of SmSi2Ni2Ir. The functional is PBE.

- Symmetry: P4/mmm (123)
- VASP energy: -6.11 eV/atom
- Formation energy from raw total energies: -10.9 kJ per mole of atoms

Cell lengths 4.5298, 4.5298, 5.4291 Å; angles 90.00, 90.00, 90.00 degrees
Fractional coordinates of all 6 atoms:
Ni: 0.5000 0.5000 0.7590
Ni: 0.5000 0.5000 0.2410
Ir: 0.0000 0.0000 0.0000
Si: 0.0000 0.5000 0.0000
Si: 0.5000 0.0000 0.0000
Sm: 0.0000 0.0000 0.5000


This record from the Alexandria database describes an optimized crystal structure of LiCaIn2. The functional is PBE.

- Symmetry: Cm (8)
- VASP energy: -2.61 eV/atom
- Formation energy: -25 kJ per mole of atoms

Cell lengths 5.8306, 5.8306, 5.4347 Å; angles 71.91, 71.91, 36.99 degrees
Fractional coordinates of all 4 atoms:
Ca: 0.7407 0.7407 0.7752
In: 0.9848 0.9848 0.9989
In: 0.2563 0.2563 0.2773
Li: 0.5182 0.5182 0.4486


This record from the Alexandria database describes an optimized crystal structure of TaHgRh2. The functional is PBE.

- Symmetry: Pmmm (47)
- VASP energy: -7.02 eV/atom
- Formation energy: -29 kJ per mole of atoms

Cell lengths 3.1166, 3.4541, 6.2389 Å; angles 90.00, 90.00, 90.00 degrees
Fractional coordinates of all 4 atoms:
Hg: 0.5000 0.5000 0.5000
Rh: 0.0000 0.0000 0.7740
Rh: 0.0000 0.0000 0.2260
Ta: 0.5000 0.5000 0.0000


This record from the Alexandria database describes an optimized crystal structure of KCrOs2. The functional is PBE.

- Symmetry: Pmm2 (25)
- VASP energy: -7.45 eV/atom
- Formation energy: 81 kJ per mole of atoms
- Distance to the lowest polymorph of the same formula: 149 meV/atom

Cell lengths 2.7776, 3.8307, 7.8441 Å; angles 90.00, 90.00, 90.00 degrees
Fractional coordinates of all 4 atoms:
Os: 0.0000 0.0000 0.0968
Os: 0.5000 0.5000 0.2335
Cr: 0.0000 0.0000 0.4102
K: 0.5000 0.5000 0.7594


This record from the Alexandria database describes an optimized crystal structure of ZrSi2Br. The functional is PBE.

- Symmetry: P4/mmm (123)
- VASP energy: -5.07 eV/atom
- Distance to the lowest polymorph of the same formula: 574 meV/atom
- Formation energy from raw total energies: 18.9 kJ per mole of atoms

Cell lengths 5.0786, 5.0786, 3.0558 Å; angles 90.00, 90.00, 90.00 degrees
Fractional coordinates of all 4 atoms:
Zr: 0.5000 0.0000 0.5000
Si: 0.0000 0.0000 0.0000
Si: 0.5000 0.5000 0.0000
Br: 0.0000 0.5000 0.5000


This record from the Alexandria database describes an optimized crystal structure of PaTl2SbO8. The functional is PBE.

- Symmetry: Cmmm (65)
- VASP energy: -6.51 eV/atom
- Formation energy from raw total energies: -161.6 kJ per mole of atoms

Cell lengths 5.0513, 5.0483, 6.8699 Å; angles 90.00, 90.00, 91.70 degrees
Fractional coordinates of all 12 atoms:
O: 0.7007 0.7004 0.5000
O: 0.1784 0.8214 0.7692
O: 0.8216 0.1786 0.7692
O: 0.7155 0.7158 0.0000
O: 0.8216 0.1786 0.2308
O: 0.2845 0.2842 0.0000
O: 0.1784 0.8214 0.2308
O: 0.2993 0.2996 0.5000
Tl: 0.5000 0.5000 0.2401
Tl: 0.5000 0.5000 0.7599
Sb: 0.0000 0.0000 0.0000
Pa: 0.0000 0.0000 0.5000


This record from the Alexandria database describes an optimized crystal structure of Sr2PuHg2O6. The functional is PBE.

- Symmetry: C2/m (12)
- VASP energy: -6.39 eV/atom
- Formation energy from raw total energies: -195.0 kJ per mole of atoms

Cell lengths 6.3325, 6.3325, 8.2480 Å; angles 105.27, 105.27, 121.76 degrees
Fractional coordinates of all 11 atoms:
O: 0.1682 0.1682 0.3552
O: 0.8318 0.8318 0.6448
O: 0.1119 0.3899 0.6572
O: 0.3899 0.1119 0.6572
O: 0.8881 0.6101 0.3428
O: 0.6101 0.8881 0.3428
Sr: 0.3324 0.6676 0.5000
Sr: 0.6676 0.3324 0.5000
Pu: 0.0000 0.0000 0.5000
Hg: 0.7263 0.2737 0.0000
Hg: 0.2737 0.7263 0.0000


This record from the Alexandria database describes an optimized crystal structure of Tm3Zn2Cu. The functional is PBE.

- Symmetry: P4/mmm (123)
- VASP energy: -3.67 eV/atom
- Formation energy: -32 kJ per mole of atoms

Cell lengths 3.4846, 3.4846, 10.4609 Å; angles 90.00, 90.00, 90.00 degrees
Fractional coordinates of all 6 atoms:
Tm: 0.0000 0.0000 0.3392
Tm: 0.0000 0.0000 0.0000
Tm: 0.0000 0.0000 0.6608
Cu: 0.5000 0.5000 0.5000
Zn: 0.5000 0.5000 0.8333
Zn: 0.5000 0.5000 0.1667


This record from the Alexandria database describes an optimized crystal structure of BaCr2Hg. The functional is PBE.

- Symmetry: I4_1/amd (141)
- VASP energy: -4.59 eV/atom
- Formation energy: 75 kJ per mole of atoms

Cell lengths 5.3761, 5.3761, 10.2226 Å; angles 74.75, 74.75, 90.00 degrees
Fractional coordinates of all 8 atoms:
Ba: 0.2500 0.7500 0.5000
Ba: 0.5000 0.5000 0.0000
Cr: 0.8750 0.6250 0.2500
Cr: 0.8750 0.1250 0.7500
Cr: 0.3750 0.1250 0.7500
Cr: 0.8750 0.1250 0.2500
Hg: 0.0000 0.0000 0.0000
Hg: 0.7500 0.2500 0.5000


This record from the Alexandria database describes an optimized crystal structure of GdCd2In. The functional is PBE.

- Symmetry: P4/mmm (123)
- VASP energy: -4.86 eV/atom
- Formation energy: -19 kJ per mole of atoms
- Distance to the lowest polymorph of the same formula: 124 meV/atom

Cell lengths 3.8415, 3.8415, 6.9450 Å; angles 90.00, 90.00, 90.00 degrees
Fractional coordinates of all 4 atoms:
Cd: 0.0000 0.0000 0.7608
Cd: 0.0000 0.0000 0.2392
Gd: 0.5000 0.5000 0.5000
In: 0.5000 0.5000 0.0000